No. 1
DFT (GGA-PBE) results for crystalline Pm3Cu3Ag at its relaxed geometry.

Cell: 4.231 5.755 14.207 Å, 84.12 81.44 68.43°
Sites, in units of the cell vectors:
Pm: 0.534 0.320 0.612
Pm: 0.466 0.680 0.388
Pm: 0.261 0.251 0.227
Pm: 0.739 0.749 0.773
Pm: 0.391 0.294 0.924
Pm: 0.609 0.706 0.076
Cu: 0.880 0.699 0.542
Cu: 0.120 0.301 0.458
Cu: 0.098 0.881 0.923
Cu: 0.902 0.119 0.077
Cu: 0.972 0.827 0.228
Cu: 0.028 0.173 0.772
Ag: 0.759 0.091 0.391
Ag: 0.241 0.909 0.609

Calculated values
Volume (Å³ per atom): 22.69
Magnetic moment (μB per formula unit): 0.00
ΔH_f (0 K) (eV per formula unit): -1.31
Total energy (eV per atom): -4.385

No. 2
DFT (GGA-PBE) results for crystalline HoPuI6 at its relaxed geometry.

Cell: 7.936 7.936 7.760 Å, 91.73 91.73 119.39°
Sites, in units of the cell vectors:
Ho: 0.000 0.000 0.000
Pu: 0.000 0.000 0.500
I: 0.300 0.999 0.251
I: 0.999 0.300 0.251
I: 0.001 0.700 0.749
I: 0.700 0.001 0.749
I: 0.299 0.299 0.777
I: 0.701 0.701 0.223

Calculated values
Volume (Å³ per atom): 53.14
Formation energy (no corrections) (meV per atom): -1210
E above lowest polymorph (eV per atom): 0.0000
Magnetic moment (μB per formula unit): 5.00
Total energy (eV per atom): -4.736

No. 3
DFT (GGA-PBE) results for crystalline DyFe3H6 at its relaxed geometry.

Cell: 4.388 4.388 5.518 Å, 90.00 113.43 120.00°
Sites, in units of the cell vectors:
Dy: 0.756 0.878 0.634
Fe: 0.689 0.345 0.034
Fe: 0.349 0.675 0.024
Fe: 0.125 0.062 0.187
H: 0.366 0.438 0.791
H: 0.168 0.704 0.250
H: 0.786 0.082 0.250
H: 0.353 0.928 0.791
H: 0.863 0.425 0.791
H: 0.546 0.464 0.250

Calculated values
Volume (Å³ per atom): 8.18
Magnetic moment (μB per formula unit): 5.71
Total energy (eV per atom): -5.164

No. 4
DFT (GGA-PBE) results for crystalline BaHg3Br8 at its relaxed geometry.

Cell: 8.841 8.850 8.152 Å, 116.66 100.30 113.80°
Sites, in units of the cell vectors:
Ba: 0.000 0.000 0.000
Hg: 0.500 0.000 0.000
Hg: 0.500 0.500 0.000
Hg: 0.000 0.500 0.000
Br: 0.273 0.479 0.746
Br: 0.727 0.521 0.254
Br: 0.259 0.998 0.758
Br: 0.710 0.042 0.763
Br: 0.776 0.503 0.756
Br: 0.224 0.497 0.244
Br: 0.290 0.958 0.237
Br: 0.741 0.002 0.242

Calculated values
Volume (Å³ per atom): 39.03
Formation energy (no corrections) (meV per atom): -832
Magnetic moment (μB per formula unit): 0.00
Total energy (eV per atom): -2.183

No. 5
DFT (GGA-PBE) results for crystalline PmGaCu2 at its relaxed geometry.

Cell: 3.945 4.383 4.383 Å, 90.00 90.00 90.00°
Sites, in units of the cell vectors:
Cu: 0.000 0.000 0.500
Cu: 0.000 0.500 0.000
Ga: 0.500 0.000 0.000
Pm: 0.500 0.500 0.500

Calculated values
Volume (Å³ per atom): 18.95
Magnetic moment (μB per formula unit): 0.00
ΔH_f (0 K) (eV per formula unit): -0.31
Total energy (eV per atom): -4.071